Computed, not measured: Tl2CdSi2 after structural relaxation at the GGA-PBE level of DFT.

Properties
- Relative energy among the computed polymorphs: 94 meV per atom
- Symmetry: P4/mbm (127)
- Fermi-level density of states: 0.604 states/eV/atom
- Formation energy (no corrections): 1.7 eV/f.u.

Structure (POSCAR):
```
Tl2CdSi2
1.0
-2.6502 5.7942 -2.9811
0.0290 -3.2077 -6.2604
-4.5390 -1.6515 0.8252
Tl Si Cd
4 4 2
direct
0.1841 0.6841 0.5000 Tl
0.6841 0.8159 0.5000 Tl
0.8159 0.3159 0.5000 Tl
0.3159 0.1841 0.5000 Tl
0.3817 0.8817 0.0000 Si
0.8817 0.6183 0.0000 Si
0.6183 0.1183 0.0000 Si
0.1183 0.3817 0.0000 Si
0.0000 0.0000 0.0000 Cd
0.5000 0.5000 0.0000 Cd
```